# PBE MgCr2Os, optimized geometry
# - VASP energy: -7.726 eV/atom
data_MgCr2Os
_chemical_formula_sum 'Mg2 Cr4 Os2'
_symmetry_space_group_name_H-M 'I m m m'
_symmetry_Int_Tables_number 71
_symmetry_space_group_name_Hall '-I 2 2'
_cell_length_a 2.988
_cell_length_b 4.236
_cell_length_c 8.575
_cell_angle_alpha 90.00
_cell_angle_beta 90.00
_cell_angle_gamma 90.00
loop_
_atom_site_label
_atom_site_type_symbol
_atom_site_fract_x
_atom_site_fract_y
_atom_site_fract_z
Mg1 Mg 0.000 0.000 0.000
Cr1 Cr 0.000 0.500 0.236
Os1 Os 0.000 0.000 0.500


# PBE Er12Al3Cd, optimized geometry
# - VASP energy: -4.347 eV/atom
data_Er12Al3Cd
_chemical_formula_sum 'Er12 Al3 Cd1'
_symmetry_space_group_name_H-M 'P 4/m m m'
_symmetry_Int_Tables_number 123
_symmetry_space_group_name_Hall '-P 4 2'
_cell_length_a 4.737
_cell_length_b 4.737
_cell_length_c 18.977
_cell_angle_alpha 90.00
_cell_angle_beta 90.00
_cell_angle_gamma 90.00
loop_
_atom_site_label
_atom_site_type_symbol
_atom_site_fract_x
_atom_site_fract_y
_atom_site_fract_z
Er1 Er 0.000 0.000 0.000
Er2 Er 0.000 0.000 0.248
Er3 Er 0.000 0.000 0.500
Er4 Er 0.000 0.500 0.124
Er5 Er 0.000 0.500 0.370
Al1 Al 0.500 0.500 0.000
Al2 Al 0.500 0.500 0.249
Cd1 Cd 0.500 0.500 0.500


# PBE SrAs2Au2, optimized geometry
# - VASP energy: -3.709 eV/atom
data_SrAs2Au2
_chemical_formula_sum 'Sr2 As4 Au4'
_symmetry_space_group_name_H-M 'P 4/m b m'
_symmetry_Int_Tables_number 127
_symmetry_space_group_name_Hall '-P 4 2ab'
_cell_length_a 7.803
_cell_length_b 7.803
_cell_length_c 3.667
_cell_angle_alpha 90.00
_cell_angle_beta 90.00
_cell_angle_gamma 90.00
loop_
_atom_site_label
_atom_site_type_symbol
_atom_site_fract_x
_atom_site_fract_y
_atom_site_fract_z
Sr1 Sr 0.000 0.000 0.000
As1 As 0.126 0.374 0.000
Au1 Au 0.176 0.676 0.500


Which of these has the lowest VASP energy?
MgCr2Os


Look up the VASP energy of the third one.
-3.709 eV/atom